Record 1
Tl2ReSb: optimized geometry, PBE.

```
data_Tl2ReSb
_cell_length_a 6.273
_cell_length_b 6.273
_cell_length_c 6.273
_cell_angle_alpha 140.71
_cell_angle_beta 140.71
_cell_angle_gamma 56.78
_space_group_name_H-M_alt 'P 1'
_space_group_IT_number 1
_space_group_name_Hall 'P 1'
loop_
_atom_site_label
_atom_site_fract_x
_atom_site_fract_y
_atom_site_fract_z
Sb1 0.750 0.250 0.500
Tl1 0.500 0.500 0.000
Tl2 0.000 0.000 0.000
Re1 0.250 0.750 0.500
```

Computed properties:
For the total DFT energy (no corrections), the calculation gives -4.297 eV/atom. The crystal system is tetragonal. The formation energy (no corrections) comes out at 1.029 eV per atom. The calculated volume is 24.5 A^3/atom. Its density of states at the Fermi level is 3.3 states/eV/cell. Its space group is I4/mmm.

---

Record 2
Tl2ReSb: optimized geometry, PBE.

```
data_Tl2ReSb
_cell_length_a 5.059
_cell_length_b 5.059
_cell_length_c 3.542
_cell_angle_alpha 90.00
_cell_angle_beta 90.00
_cell_angle_gamma 90.00
_space_group_name_H-M_alt 'P 1'
_space_group_IT_number 1
_space_group_name_Hall 'P 1'
loop_
_atom_site_label
_atom_site_fract_x
_atom_site_fract_y
_atom_site_fract_z
Tl1 0.000 0.000 0.000
Tl2 0.500 0.500 0.000
Sb1 0.000 0.500 0.500
Re1 0.500 0.000 0.500
```

Computed properties:
For the total DFT energy (no corrections), the calculation gives -4.208 eV/atom. The crystal system is tetragonal. The formation energy (no corrections) comes out at 1.118 eV per atom. The calculated volume is 22.7 A^3/atom. Its density of states at the Fermi level is 4.5 states/eV/cell. Its space group is P4/mmm.

---

Record 3
Tl2VReSb: optimized geometry, PBE.

```
data_Tl2VReSb
_cell_length_a 5.375
_cell_length_b 4.595
_cell_length_c 5.375
_cell_angle_alpha 90.00
_cell_angle_beta 90.00
_cell_angle_gamma 90.00
_space_group_name_H-M_alt 'P 1'
_space_group_IT_number 1
_space_group_name_Hall 'P 1'
loop_
_atom_site_label
_atom_site_fract_x
_atom_site_fract_y
_atom_site_fract_z
Sb1 0.500 0.500 0.500
Tl1 0.500 0.000 0.000
Tl2 0.000 0.000 0.500
V1 0.000 0.500 0.000
Re1 0.000 0.000 0.000
```

Computed properties:
For the total DFT energy (no corrections), the calculation gives -5.064 eV/atom. The crystal system is tetragonal. The formation energy (no corrections) comes out at 1.020 eV per atom. The calculated volume is 26.6 A^3/atom. Its density of states at the Fermi level is 6.4 states/eV/cell. Its space group is P4/mmm.

---

Record 4
Tm12ReSb6: optimized geometry, PBE.

```
data_Tm12ReSb6
_cell_length_a 8.436
_cell_length_b 8.436
_cell_length_c 8.436
_cell_angle_alpha 99.68
_cell_angle_beta 99.68
_cell_angle_gamma 99.68
_space_group_name_H-M_alt 'P 1'
_space_group_IT_number 1
_space_group_name_Hall 'P 1'
loop_
_atom_site_label
_atom_site_fract_x
_atom_site_fract_y
_atom_site_fract_z
Tm1 0.413 0.545 0.200
Tm2 0.057 0.993 0.316
Tm3 0.684 0.943 0.007
Tm4 0.200 0.413 0.545
Tm5 0.455 0.800 0.587
Tm6 0.545 0.200 0.413
Tm7 0.993 0.316 0.057
Tm8 0.007 0.684 0.943
Tm9 0.943 0.007 0.684
Tm10 0.800 0.587 0.455
Tm11 0.316 0.057 0.993
Tm12 0.587 0.455 0.800
Sb1 0.648 0.321 0.119
Sb2 0.352 0.679 0.881
Sb3 0.119 0.648 0.321
Sb4 0.321 0.119 0.648
Sb5 0.679 0.881 0.352
Sb6 0.881 0.352 0.679
Re1 0.000 0.000 0.000
```

Computed properties:
For the total DFT energy (no corrections), the calculation gives -5.293 eV/atom. The crystal system is trigonal. The formation energy (no corrections) comes out at -0.512 eV per atom. The calculated volume is 30.1 A^3/atom. Its density of states at the Fermi level is 12.2 states/eV/cell. Its space group is R-3.

---

Record 5
Tm8ReSb2: optimized geometry, PBE.

```
data_Tm8ReSb2
_cell_length_a 4.948
_cell_length_b 6.582
_cell_length_c 9.858
_cell_angle_alpha 106.00
_cell_angle_beta 104.53
_cell_angle_gamma 90.00
_space_group_name_H-M_alt 'P 1'
_space_group_IT_number 1
_space_group_name_Hall 'P 1'
loop_
_atom_site_label
_atom_site_fract_x
_atom_site_fract_y
_atom_site_fract_z
Tm1 0.353 0.992 0.707
Tm2 0.782 0.674 0.564
Tm3 0.022 0.791 0.043
Tm4 0.411 0.544 0.822
Tm5 0.589 0.456 0.178
Tm6 0.218 0.326 0.436
Tm7 0.978 0.209 0.957
Tm8 0.647 0.008 0.293
Sb1 0.819 0.241 0.638
Sb2 0.181 0.759 0.362
Re1 0.500 0.000 0.000
```

Computed properties:
For the total DFT energy (no corrections), the calculation gives -5.467 eV/atom. The crystal system is monoclinic. The formation energy (no corrections) comes out at -0.334 eV per atom. The calculated volume is 27.1 A^3/atom. Its density of states at the Fermi level is 8.6 states/eV/cell. Its space group is C2/m.

---

Record 6
U2ReSb: optimized geometry, PBE.

```
data_U2ReSb
_cell_length_a 3.796
_cell_length_b 3.796
_cell_length_c 5.946
_cell_angle_alpha 90.00
_cell_angle_beta 90.00
_cell_angle_gamma 90.00
_space_group_name_H-M_alt 'P 1'
_space_group_IT_number 1
_space_group_name_Hall 'P 1'
loop_
_atom_site_label
_atom_site_fract_x
_atom_site_fract_y
_atom_site_fract_z
U1 0.000 0.000 0.788
U2 0.000 0.000 0.212
Sb1 0.500 0.500 0.500
Re1 0.500 0.500 0.000
```

Computed properties:
For the total DFT energy (no corrections), the calculation gives -9.770 eV/atom. The crystal system is tetragonal. The formation energy (no corrections) comes out at 0.017 eV per atom. The calculated volume is 21.4 A^3/atom. Its density of states at the Fermi level is 6.9 states/eV/cell. Its space group is P4/mmm.